# ZnInW2

A relaxed structure of ZnInW2 (PBE, OQMD).

Total moment in μB/cell: 0.0
Uncorrected energy in eV for the cell shown: -110.93

Unit cell a=6.4561 b=6.4561 c=6.4561 alpha=90.00 beta=90.00 gamma=90.00
Last column: nearest neighbours and their distance in Å.
Space group F-43m (No. 216)
One atom of each set of equivalent atoms:
Zn (0.0000, 0.0000, 0.0000)  4 In 2.80, 4 W 2.80
In (0.2500, 0.2500, 0.7500)  4 W 2.80, 4 Zn 2.80
W (0.0000, 0.0000, 0.5000)  4 W 2.80, 4 In 2.80
W (0.2500, 0.2500, 0.2500)  4 W 2.80, 4 Zn 2.80